The following is a PBE-GGA calculation of an optimized crystal structure of In2MoSe, from the Alexandria database.

Calculated values
size of the total moment	0.00	μB/f.u.
crystal system	orthorhombic

Unit cell a=3.1068 b=3.1068 c=8.8343 alpha=90.00 beta=90.00 gamma=104.81
Fractional coordinates of all 4 atoms:
In1 0.0000 0.0000 0.4869
In2 0.0000 0.0000 0.0131
Mo1 0.5000 0.5000 0.2500
Se1 0.5000 0.5000 0.7500

=====

The following is a PBE-GGA calculation of an optimized crystal structure of InMo3Se, from the Alexandria database.

Calculated values
size of the total moment	0.00	μB/f.u.
ΔE to the lowest computed polymorph	1.559	eV per atom
crystal system	cubic

Unit cell a=4.9307 b=4.9307 c=4.9307 alpha=90.00 beta=90.00 gamma=90.00
Fractional coordinates of all 5 atoms:
Mo1 0.0000 0.5000 0.0000
Mo2 0.0000 0.0000 0.5000
Mo3 0.5000 0.0000 0.0000
Se1 0.5000 0.5000 0.5000
In1 0.0000 0.0000 0.0000

=====

The following is a PBE-GGA calculation of an optimized crystal structure of InMo2Se, from the Alexandria database.

Calculated values
size of the total moment	0.00	μB/f.u.
ΔE to the lowest computed polymorph	0.283	eV per atom
crystal system	orthorhombic

Unit cell a=5.6162 b=5.6162 c=5.6162 alpha=146.58 beta=130.07 gamma=61.41
Fractional coordinates of all 4 atoms:
In1 0.7492 0.2492 0.5000
Se1 0.4676 0.4676 0.0000
Mo1 0.2441 0.7441 0.5000
Mo2 0.0391 0.0391 0.0000

=====

The following is a PBE-GGA calculation of an optimized crystal structure of InMoSe2, from the Alexandria database.

Calculated values
size of the total moment	0.00	μB/f.u.
crystal system	orthorhombic

Unit cell a=8.9143 b=8.9143 c=8.9143 alpha=159.29 beta=158.66 gamma=29.91
Fractional coordinates of all 4 atoms:
In1 0.4432 0.4432 0.0000
Se1 0.0875 0.0875 0.0000
Se2 0.7707 0.2707 0.5000
Mo1 0.1985 0.6985 0.5000

=====

The following is a PBE-GGA calculation of an optimized crystal structure of InMo2Se, from the Alexandria database.

Calculated values
size of the total moment	0.00	μB/f.u.
ΔE to the lowest computed polymorph	0.487	eV per atom
crystal system	tetragonal

Unit cell a=4.9888 b=4.9888 c=4.9888 alpha=129.94 beta=129.94 gamma=73.51
Fractional coordinates of all 4 atoms:
Mo1 0.0000 0.0000 0.0000
Mo2 0.2500 0.7500 0.5000
In1 0.7500 0.2500 0.5000
Se1 0.5000 0.5000 0.0000

=====

The following is a PBE-GGA calculation of an optimized crystal structure of InMo2Se, from the Alexandria database.

Calculated values
size of the total moment	0.00	μB/f.u.
ΔE to the lowest computed polymorph	0.212	eV per atom
crystal system	tetragonal

Unit cell a=3.1268 b=3.1268 c=7.0132 alpha=90.00 beta=90.00 gamma=90.00
Fractional coordinates of all 4 atoms:
Se1 0.5000 0.5000 0.2500
Mo1 0.0000 0.0000 0.0425
Mo2 0.0000 0.0000 0.4575
In1 0.5000 0.5000 0.7500

=====

no.,uncorrected formation energy (meV per atom),total energy (eV per atom)
1,417,-4.53
2,2469,-5.27
3,357,-6.61
4,-166,-5.30
5,561,-6.41
6,286,-6.69